Below is crystalline AcSbAuO at its relaxed geometry, with properties calculated at the GGA-PBE level.

a = 4.4349 Å, b = 4.4349 Å, c = 9.7910 Å
α = 90.00°, β = 90.00°, γ = 90.00°
Fractional coordinates of all 8 atoms:
Ac 0.0000 0.5000 0.8799
Sb 0.5000 0.5000 0.5000
Au 0.0000 0.5000 0.2984
Au 0.5000 0.0000 0.7016
Ac 0.5000 0.0000 0.1201
O 0.0000 0.0000 0.0000
O 0.5000 0.5000 0.0000
Sb 0.0000 0.0000 0.5000

Results
Size of the total moment ... 0.0000 μB per atom
Total energy ... -45.44 eV per cell
SG ... No. 129
Formation energy from raw total energies ... -1.56 eV/atom



Below is crystalline AcSbAu2O8 at its relaxed geometry, with properties calculated at the GGA-PBE level.

a = 5.4889 Å, b = 5.4889 Å, c = 7.0212 Å
α = 66.99°, β = 66.99°, γ = 60.00°
Site moments in Bohr magnetons follow the coordinates.
Fractional coordinates of all 12 atoms:
O 0.2826 0.8684 0.1721  0.10
O 0.6768 0.2826 0.1721  0.10
O 0.8684 0.6768 0.1721  0.10
Au 0.2823 0.2823 0.1532  0.18
Ac 0.5000 0.5000 0.5000  -0.01
O 0.1793 0.1793 0.4622  0.35
O 0.7174 0.1316 0.8279  0.10
O 0.8207 0.8207 0.5378  0.35
O 0.3232 0.7174 0.8279  0.10
Sb 0.0000 0.0000 0.0000  -0.01
Au 0.7177 0.7177 0.8468  0.18
O 0.1316 0.3232 0.8279  0.10

Results
Size of the total moment ... 0.1544 μB per atom
Total energy ... -63.16 eV per cell
SG ... No. 148
Formation energy from raw total energies ... -0.73 eV/atom



Below is crystalline Ac2ScAuO6 at its relaxed geometry, with properties calculated at the GGA-PBE level.

a = 4.4116 Å, b = 5.8606 Å, c = 5.8606 Å
α = 90.00°, β = 90.00°, γ = 90.00°
Site moments in Bohr magnetons follow the coordinates.
Fractional coordinates of all 10 atoms:
Au 0.6444 0.0000 0.0000  0.44
O 0.6972 0.2574 0.7426  0.11
Ac 0.0511 0.0000 0.5000  0.00
O 0.6972 0.2574 0.2574  0.11
Sc 0.6072 0.5000 0.5000  0.08
O 0.1536 0.5000 0.5000  0.01
O 0.6972 0.7426 0.2574  0.11
Ac 0.0511 0.5000 0.0000  0.00
O 0.1505 0.0000 0.0000  -0.01
O 0.6972 0.7426 0.7426  0.11

Results
Size of the total moment ... 0.0998 μB per atom
Total energy ... -71.70 eV per cell
SG ... No. 99
Formation energy from raw total energies ... -2.41 eV/atom



Below is crystalline AcScAu2O8 at its relaxed geometry, with properties calculated at the GGA-PBE level.

a = 5.5892 Å, b = 5.5892 Å, c = 6.5367 Å
α = 115.31°, β = 115.31°, γ = 90.00°
Site moments in Bohr magnetons follow the coordinates.
Fractional coordinates of all 12 atoms:
Sc 0.7500 0.2500 0.5000  -0.02
O 0.5960 0.6153 0.5660  0.22
O 0.8364 0.3836 0.9049  0.01
O 0.4787 0.1636 0.0951  0.01
Au 0.2500 0.7500 0.5000  0.17
O 0.6164 0.9315 0.0951  0.01
O 0.3847 0.0300 0.4340  0.22
Ac 0.0000 0.0000 0.0000  0.00
O 0.0685 0.5213 0.9049  0.01
O 0.0494 0.4040 0.4340  0.22
Au 0.5000 0.5000 0.0000  0.01
O 0.9700 0.9506 0.5660  0.22

Results
Size of the total moment ... 0.1030 μB per atom
Total energy ... -70.49 eV per cell
SG ... No. 82
Formation energy from raw total energies ... -1.15 eV/atom



Below is crystalline AcAuSe2O8 at its relaxed geometry, with properties calculated at the GGA-PBE level.

a = 5.5967 Å, b = 5.5967 Å, c = 7.9186 Å
α = 90.00°, β = 90.00°, γ = 120.00°
Fractional coordinates of all 12 atoms:
O 0.6650 0.8325 0.7617
O 0.8325 0.1675 0.2383
O 0.8325 0.6650 0.2383
O 0.3333 0.6667 0.4860
Se 0.3333 0.6667 0.6995
O 0.6667 0.3333 0.5140
O 0.1675 0.3350 0.7617
Se 0.6667 0.3333 0.3005
Au 0.0000 0.0000 0.0000
O 0.3350 0.1675 0.2383
O 0.1675 0.8325 0.7617
Ac 0.0000 0.0000 0.5000

Results
Size of the total moment ... 0.0000 μB per atom
Total energy ... -67.15 eV per cell
SG ... No. 164
Formation energy from raw total energies ... -1.09 eV/atom



Below is crystalline Ac2AuSeO6 at its relaxed geometry, with properties calculated at the GGA-PBE level.

a = 4.4827 Å, b = 5.9657 Å, c = 5.9657 Å
α = 90.00°, β = 90.00°, γ = 90.00°
Fractional coordinates of all 10 atoms:
Se 0.6492 0.0000 0.0000
O 0.7112 0.7743 0.7743
Ac 0.0316 0.0000 0.5000
Ac 0.0316 0.5000 0.0000
O 0.7112 0.7743 0.2257
O 0.7112 0.2257 0.7743
O 0.2565 0.0000 0.0000
Au 0.5546 0.5000 0.5000
O 0.0783 0.5000 0.5000
O 0.7112 0.2257 0.2257

Results
Size of the total moment ... 0.0000 μB per atom
Total energy ... -61.70 eV per cell
SG ... No. 99
Formation energy from raw total energies ... -1.70 eV/atom



Below is crystalline AcSnAuO5 at its relaxed geometry, with properties calculated at the GGA-PBE level.

a = 6.6292 Å, b = 6.6292 Å, c = 7.2751 Å
α = 115.45°, β = 115.45°, γ = 101.53°
Fractional coordinates of all 16 atoms:
O 0.3216 0.9593 0.6737
O 0.3923 0.2848 0.2650
O 0.0899 0.9101 0.2500
O 0.6077 0.7152 0.7350
O 0.7152 0.6077 0.2350
O 0.9593 0.3216 0.1737
Au 0.3054 0.6946 0.7500
O 0.6784 0.0407 0.3263
O 0.2848 0.3923 0.7650
Au 0.6946 0.3054 0.2500
Ac 0.6458 0.3542 0.7500
Sn 0.0000 0.0000 0.0000
O 0.9101 0.0899 0.7500
O 0.0407 0.6784 0.8263
Ac 0.3542 0.6458 0.2500
Sn 0.0000 0.0000 0.5000

Results
Size of the total moment ... 0.0000 μB per atom
Total energy ... -99.04 eV per cell
SG ... No. 15
Formation energy from raw total energies ... -1.67 eV/atom



Below is crystalline AcSnAu2O8 at its relaxed geometry, with properties calculated at the GGA-PBE level.

a = 5.5917 Å, b = 5.5917 Å, c = 6.9153 Å
α = 66.15°, β = 66.15°, γ = 60.00°
Site moments in Bohr magnetons follow the coordinates.
Fractional coordinates of all 12 atoms:
O 0.7024 0.1262 0.8303  0.17
Au 0.2872 0.2872 0.1384  0.26
O 0.1262 0.3411 0.8303  0.17
O 0.2976 0.8738 0.1697  0.17
O 0.3411 0.7024 0.8303  0.17
O 0.8738 0.6589 0.1697  0.17
O 0.8193 0.8193 0.5422  0.37
Sn 0.0000 0.0000 0.0000  -0.01
O 0.6589 0.2976 0.1697  0.17
Ac 0.5000 0.5000 0.5000  -0.01
Au 0.7128 0.7128 0.8616  0.26
O 0.1807 0.1807 0.4578  0.37

Results
Size of the total moment ... 0.2119 μB per atom
Total energy ... -62.09 eV per cell
SG ... No. 148
Formation energy from raw total energies ... -0.65 eV/atom



Below is crystalline SrAc2AuO6 at its relaxed geometry, with properties calculated at the GGA-PBE level.

a = 5.1480 Å, b = 5.8970 Å, c = 5.8970 Å
α = 90.00°, β = 90.00°, γ = 90.00°
Site moments in Bohr magnetons follow the coordinates.
Fractional coordinates of all 10 atoms:
Sr 0.5547 0.5000 0.5000  0.00
O 0.7267 0.2390 0.7610  0.01
Au 0.6871 0.0000 0.0000  0.02
Ac 0.0094 0.5000 0.0000  0.00
Ac 0.0094 0.0000 0.5000  0.00
O 0.7267 0.2390 0.2390  0.01
O 0.1028 0.5000 0.5000  0.10
O 0.7267 0.7610 0.7610  0.01
O 0.7267 0.7610 0.2390  0.01
O 0.1764 0.0000 0.0000  0.07

Results
Size of the total moment ... 0.0241 μB per atom
Total energy ... -63.48 eV per cell
SG ... No. 99
Formation energy from raw total energies ... -2.06 eV/atom



Below is crystalline AcTbAu2O8 at its relaxed geometry, with properties calculated at the GGA-PBE level.

a = 5.6599 Å, b = 5.6599 Å, c = 6.6690 Å
α = 115.11°, β = 115.11°, γ = 90.00°
Site moments in Bohr magnetons follow the coordinates.
Fractional coordinates of all 12 atoms:
O 0.9536 0.8634 0.5871  -0.05
O 0.3953 0.2155 0.0674  0.28
Tb 0.0000 0.0000 0.0000  0.00
O 0.1366 0.3665 0.4129  -0.05
Au 0.2500 0.7500 0.5000  -0.06
O 0.6335 0.7237 0.5871  -0.05
O 0.2763 0.0464 0.4129  -0.05
O 0.7845 0.3280 0.9326  0.28
Ac 0.7500 0.2500 0.5000  -0.01
O 0.1482 0.6047 0.9326  0.28
Au 0.5000 0.5000 0.0000  0.22
O 0.6720 0.8518 0.0674  0.28

Results
Size of the total moment ... 0.1034 μB per atom
Total energy ... -69.06 eV per cell
SG ... No. 82
Formation energy from raw total energies ... -1.18 eV/atom



Below is crystalline AcTeAu2O8 at its relaxed geometry, with properties calculated at the GGA-PBE level.

a = 5.4264 Å, b = 5.4264 Å, c = 7.1169 Å
α = 67.59°, β = 67.59°, γ = 60.00°
Site moments in Bohr magnetons follow the coordinates.
Fractional coordinates of all 12 atoms:
O 0.1800 0.1800 0.4600  0.29
Ac 0.5000 0.5000 0.5000  -0.01
Te 0.0000 0.0000 0.0000  0.00
O 0.1367 0.3091 0.8305  0.03
O 0.3091 0.7237 0.8305  0.03
O 0.8200 0.8200 0.5400  0.29
O 0.6909 0.2763 0.1695  0.03
O 0.7237 0.1367 0.8305  0.03
O 0.2763 0.8633 0.1695  0.03
Au 0.7193 0.7193 0.8421  0.10
Au 0.2807 0.2807 0.1579  0.10
O 0.8633 0.6909 0.1695  0.03

Results
Size of the total moment ... 0.0906 μB per atom
Total energy ... -61.78 eV per cell
SG ... No. 148
Formation energy from raw total energies ... -0.69 eV/atom



Below is crystalline Ac2Te2AuO2 at its relaxed geometry, with properties calculated at the GGA-PBE level.

a = 4.2474 Å, b = 4.2474 Å, c = 13.1060 Å
α = 90.00°, β = 90.00°, γ = 120.00°
Fractional coordinates of all 7 atoms:
O 0.3333 0.6667 0.4285
Te 0.0000 0.0000 0.8047
Au 0.0000 0.0000 0.0000
Ac 0.6667 0.3333 0.3781
Te 0.0000 0.0000 0.1953
O 0.6667 0.3333 0.5715
Ac 0.3333 0.6667 0.6219

Results
Size of the total moment ... 0.0000 μB per atom
Total energy ... -40.86 eV per cell
SG ... No. 164
Formation energy from raw total energies ... -1.88 eV/atom